Run A
VASP calculation (PBE) on a geometry-optimized TbPu3Sb4 structure.

Geometry as POSCAR:
```
TbPu3Sb4
1.0
-2.614 -0.545 -3.520
-4.318 -4.914 3.968
-2.715 7.094 0.918
Pu Tb Sb
3 1 4
direct
0.000 0.000 0.500
0.000 0.500 0.000
0.500 0.500 0.500
0.500 0.000 0.000
0.000 0.749 0.749
0.500 0.750 0.250
0.500 0.250 0.750
0.000 0.251 0.251
```

Calculated values
* mass density: 9.38 g/cm3
* density of states at the Fermi level: 39.36 states/eV/cell


Run B
VASP calculation (PBE) on a geometry-optimized TbPu3Sb4 structure.

Geometry as POSCAR:
```
TbPu3Sb4
1.0
-3.219 -1.160 6.852
-4.890 -2.089 -5.504
3.312 -8.197 0.168
Pu Tb Sb
6 2 8
direct
0.250 0.500 0.875
0.750 0.500 0.626
0.250 0.000 0.626
0.750 0.500 0.125
0.250 0.500 0.374
0.750 0.000 0.374
0.750 0.000 0.876
0.250 0.000 0.124
0.000 0.751 0.376
0.500 0.749 0.124
0.500 0.751 0.624
0.000 0.251 0.124
0.500 0.251 0.876
0.500 0.249 0.376
0.000 0.249 0.624
0.000 0.749 0.876
```

Calculated values
* mass density: 9.37 g/cm3
* density of states at the Fermi level: 83.76 states/eV/cell


Relative to the most stable structure, the computed energies are run A 0; run B 6, all in meV per atom.